Computed, not measured: a geometry-optimized NbFeIrRu2 structure at the GGA-PBE level of DFT.

Computed properties:
As for the density of states at the Fermi level: 7.464 states/eV/f.u. Its symmetry is P4/mmm, No. 123. As for the energy of formation from the pure elements: 1.548 eV per atom. The electronic total energy comes out at -38.21 eV for the cell shown.

Lattice parameters (Å, degrees): 4.6450 4.5435 4.6450 90.00 90.00 90.00
Closest atoms and distances in Å follow each position.
Atoms (fractional coordinates):
Ru 0.0000 0.0000 0.5000  2 Ir 2.32
Ru 0.5000 0.0000 0.0000  2 Ir 2.32
Nb 0.5000 0.5000 0.5000  8 Ru 3.25, 4 Fe 3.28
Ir 0.0000 0.0000 0.0000  2 Fe 2.27, 4 Ru 2.32
Fe 0.0000 0.5000 0.0000  2 Ir 2.27